[1]
CeSi2Ru GGA-PBE relaxed; space-group type = Pnma (62); density of states at the Fermi level = 16.15 states/eV/cell; formation energy from raw total energies = -0.81 eV per atom; energy = -7.320 eV/atom
1.0
4.1002 0.0000 0.0000
0.0000 6.9087 0.0000
0.0000 0.0000 10.1759
Ru Si Ce
4 8 4
Cartesian
3.0752 6.8547 6.2216
3.0752 3.4003 9.0422
1.0251 3.5084 1.1336
1.0251 0.0540 3.9543
3.0752 4.7901 0.8071
1.0251 5.5730 5.8951
1.0251 5.8878 1.8211
3.0752 4.4752 6.9090
3.0752 1.3357 4.2808
1.0251 2.4335 3.2669
1.0251 2.1186 9.3687
3.0752 1.0209 8.3548
1.0251 5.7951 8.8766
3.0752 1.1136 1.2993
1.0251 2.3408 6.3872
3.0752 4.5679 3.7887

***

[2]
BaLiHfS3 GGA-PBE relaxed; space-group type = C2/m (12); formation energy from raw total energies = -1.41 eV per atom; energy = -5.769 eV/atom
1.0
-2.4006 2.2982 -6.2692
-4.9734 -4.3454 -2.5943
-7.3350 3.0323 0.3468
S Hf Li Ba
6 2 2 2
Cartesian
-6.4583 1.1862 -2.3769
-8.2508 -0.2011 -6.1398
-9.8854 -0.1039 -2.5823
-8.5536 3.3353 -4.4847
-4.8236 1.0890 -5.9343
-6.1554 -2.3502 -4.0319
-6.1604 2.2530 -0.2398
-8.5486 -1.2679 -8.2769
-6.9290 1.5914 -4.8661
-7.7800 -0.6063 -3.6505
-3.5100 -0.0446 -2.5379
-11.1991 1.0297 -5.9788

***

[3]
MgFe3Pt GGA-PBE relaxed; space-group type = Pm-3m (221); relative energy among the computed polymorphs = 0 meV per atom; density of states at the Fermi level = 6.12 states/eV/cell; energy = -5.715 eV/atom
1.0
-1.1607 4.4285 -1.0933
-2.4202 -1.5542 -3.7258
-3.8665 -0.3566 2.6603
Mg Fe Pt
1 3 1
Cartesian
-3.7237 1.2588 -1.0794
-0.5804 2.2143 -0.5467
-1.2101 -0.7771 -1.8629
-1.9333 -0.1783 1.3302
0.0000 0.0000 0.0000

***

[4]
Cs2TeHCl GGA-PBE relaxed; space-group type = P4/mmm (123); density of states at the Fermi level = 0.07 states/eV/cell; energy = -2.826 eV/atom
1.0
7.2297 0.0000 0.0000
0.0000 4.0807 0.0000
0.0000 0.0000 7.2297
Cs H Cl Te
2 1 1 1
Cartesian
0.0000 0.0000 3.6148
3.6148 0.0000 0.0000
0.0000 2.0403 0.0000
3.6148 2.0403 3.6148
0.0000 0.0000 0.0000

***

[5]
CsBeSe2Br GGA-PBE relaxed; space-group type = P4/mmm (123); relative energy among the computed polymorphs = 0 meV per atom; density of states at the Fermi level = 5.69 states/eV/cell; formation energy from raw total energies = -0.45 eV per atom; energy = -3.099 eV/atom
1.0
4.6514 0.0000 0.0000
0.0000 4.6514 0.0000
0.0000 0.0000 6.6446
Br Cs Be Se
1 1 1 2
Cartesian
0.0000 0.0000 3.3223
2.3257 2.3257 3.3223
0.0000 0.0000 0.0000
2.3257 0.0000 0.0000
0.0000 2.3257 0.0000

***

[6]
LiHoMnC GGA-PBE relaxed; space-group type = P4/nmm (129); density of states at the Fermi level = 5.91 states/eV/cell; energy = -6.283 eV/atom
1.0
-2.2020 -0.3335 2.5154
-0.0600 -3.3227 -0.4930
8.1495 -1.1824 6.9774
Li Mn Ho C
2 2 2 2
Cartesian
3.4793 -3.1666 3.7477
2.4083 -1.6720 5.2519
-1.6665 -1.0808 1.7633
-0.5955 -2.5754 0.2591
5.7561 -1.8312 5.9179
0.1315 -3.0074 3.0818
0.3325 -1.0443 1.2744
5.5550 -3.7942 7.7253